No. 1
First-principles (GGA-PBE) data for Cs2La2Hf after structural relaxation, as listed in Alexandria.

Cell: 9.6349 9.6349 3.8894 Å, 90.00 90.00 90.00°
Last column: nearest neighbours and their distance in Å.
Element x y z (fractional)
Cs: 0.3723 0.8723 0.0000  6 La 3.25-3.59, 1 Cs 3.48
Cs: 0.8723 0.6277 0.0000  6 La 3.25-3.59, 1 Cs 3.48
Cs: 0.6277 0.1277 0.0000  6 La 3.25-3.59, 1 Cs 3.48
Cs: 0.1277 0.3723 0.0000  6 La 3.25-3.59, 1 Cs 3.48
Hf: 0.0000 0.0000 0.0000  4 Cs 3.79, 2 Hf 3.89, 8 La 4.03
Hf: 0.5000 0.5000 0.0000  4 Cs 3.79, 2 Hf 3.89, 8 La 4.03
La: 0.1811 0.6811 0.5000  6 Cs 3.25-3.59
La: 0.6811 0.8189 0.5000  6 Cs 3.25-3.59
La: 0.8189 0.3189 0.5000  6 Cs 3.25-3.59
La: 0.3189 0.1811 0.5000  6 Cs 3.25-3.59

Energy above the most stable polymorph in this dataset   0 meV/atom
SG   P4/mbm
N(E_F)   2.186 states/eV/atom
Formation enthalpy at 0 K   6.139 eV/f.u.
Total magnetization   0.00 μB/f.u.



No. 2
First-principles (GGA-PBE) data for CsLa2Hf after structural relaxation, as listed in Alexandria.

Cell: 9.2604 9.2604 7.8368 Å, 53.78 53.78 90.00°
Last column: nearest neighbours and their distance in Å.
Element x y z (fractional)
Cs: 0.5000 0.5000 0.0000  8 La 4.14-4.30, 2 Hf 4.31
Cs: 0.2500 0.7500 0.5000  8 La 4.14-4.30, 2 Hf 4.31
Hf: 0.0000 0.0000 0.0000  4 La 2.81
Hf: 0.7500 0.2500 0.5000  4 La 2.81
La: 0.7483 0.1250 0.2500  2 Hf 2.81
La: 0.0017 0.6250 0.2500  2 Hf 2.81
La: 0.3750 0.2517 0.7500  2 Hf 2.81
La: 0.8750 0.9983 0.7500  2 Hf 2.81

SG   I-42d
N(E_F)   1.023 states/eV/atom
Formation enthalpy at 0 K   4.164 eV/f.u.
Total magnetization   0.00 μB/f.u.



No. 3
First-principles (GGA-PBE) data for Cs2La2Hf after structural relaxation, as listed in Alexandria.

Cell: 6.3410 6.3410 6.5321 Å, 60.96 60.96 90.00°
Last column: nearest neighbours and their distance in Å.
Element x y z (fractional)
Cs: 0.3355 0.3355 0.3291  1 Cs 3.13, 1 Hf 3.19, 4 La 3.27
Cs: 0.6645 0.6645 0.6709  1 Cs 3.13, 1 Hf 3.19, 4 La 3.27
Hf: 0.0000 0.0000 0.0000  2 Cs 3.19
La: 0.7500 0.2500 0.5000  4 Cs 3.27
La: 0.2500 0.7500 0.5000  4 Cs 3.27

Energy above the most stable polymorph in this dataset   94 meV/atom
SG   I4/mmm
N(E_F)   1.974 states/eV/atom
Formation enthalpy at 0 K   6.607 eV/f.u.
Total magnetization   0.00 μB/f.u.



No. 4
First-principles (GGA-PBE) data for CsLa3Hf after structural relaxation, as listed in Alexandria.

Cell: 5.8072 5.8072 5.8072 Å, 90.00 90.00 90.00°
Last column: nearest neighbours and their distance in Å.
Element x y z (fractional)
Cs: 0.0000 0.0000 0.0000  6 La 2.90
Hf: 0.5000 0.5000 0.5000  12 La 4.11
La: 0.0000 0.5000 0.0000  2 Cs 2.90
La: 0.0000 0.0000 0.5000  2 Cs 2.90
La: 0.5000 0.0000 0.0000  2 Cs 2.90

Energy above the most stable polymorph in this dataset   749 meV/atom
SG   Pm-3m
N(E_F)   1.541 states/eV/atom
Formation enthalpy at 0 K   6.694 eV/f.u.
Total magnetization   0.00 μB/f.u.



No. 5
First-principles (GGA-PBE) data for CsLa3Hf after structural relaxation, as listed in Alexandria.

Cell: 6.0830 6.0830 6.0830 Å, 90.00 90.00 90.00°
Last column: nearest neighbours and their distance in Å.
Element x y z (fractional)
Cs: 0.5000 0.5000 0.5000  12 La 4.30
Hf: 0.0000 0.0000 0.0000  6 La 3.04
La: 0.0000 0.5000 0.0000  2 Hf 3.04
La: 0.0000 0.0000 0.5000  2 Hf 3.04
La: 0.5000 0.0000 0.0000  2 Hf 3.04

Energy above the most stable polymorph in this dataset   0 meV/atom
SG   Pm-3m
N(E_F)   1.506 states/eV/atom
Formation enthalpy at 0 K   2.949 eV/f.u.
Total magnetization   0.00 μB/f.u.



No. 6
First-principles (GGA-PBE) data for CsLaHf3 after structural relaxation, as listed in Alexandria.

Cell: 5.3581 5.3581 5.3581 Å, 90.00 90.00 90.00°
Last column: nearest neighbours and their distance in Å.
Element x y z (fractional)
Cs: 0.0000 0.0000 0.0000  6 Hf 2.68
Hf: 0.0000 0.5000 0.0000  2 Cs 2.68
Hf: 0.0000 0.0000 0.5000  2 Cs 2.68
Hf: 0.5000 0.0000 0.0000  2 Cs 2.68
La: 0.5000 0.5000 0.5000  12 Hf 3.79

SG   Pm-3m
N(E_F)   2.316 states/eV/atom
Formation enthalpy at 0 K   9.127 eV/f.u.
Total magnetization   0.21 μB/f.u.



No. 7
First-principles (GGA-PBE) data for CsLiLaHf2 after structural relaxation, as listed in Alexandria.

Cell: 5.1857 5.5961 5.1857 Å, 90.00 90.00 90.00°
Last column: nearest neighbours and their distance in Å.
Element x y z (fractional)
Cs: 0.5000 0.5000 0.5000  4 La 3.67, 8 Hf 3.81
Li: 0.0000 0.0000 0.0000  4 Hf 2.59, 2 La 2.80
Hf: 0.0000 0.0000 0.5000  2 Li 2.59
Hf: 0.5000 0.0000 0.0000  2 Li 2.59
La: 0.0000 0.5000 0.0000  2 Li 2.80

SG   P4/mmm
N(E_F)   1.759 states/eV/atom
Formation enthalpy at 0 K   5.849 eV/f.u.
Total magnetization   0.00 μB/f.u.



No. 8
First-principles (GGA-PBE) data for Cs2LaHf2O7 after structural relaxation, as listed in Alexandria.

Cell: 4.1212 4.1212 12.7324 Å, 80.69 80.69 90.00°
Last column: nearest neighbours and their distance in Å.
Element x y z (fractional)
Cs: 0.8085 0.8085 0.3831  4 O 2.98
Cs: 0.1915 0.1915 0.6169  4 O 2.98
La: 0.0000 0.0000 0.0000  12 O 2.71-2.91
Hf: 0.5866 0.5866 0.8269  6 O 1.97-2.15
Hf: 0.4134 0.4134 0.1731  6 O 1.97-2.15
O: 0.5000 0.5000 0.0000  2 Hf 2.15
O: 0.3339 0.3339 0.3322  1 Hf 1.97
O: 0.6661 0.6661 0.6678  1 Hf 1.97
O: 0.9287 0.4287 0.1425  2 Hf 2.09-2.10
O: 0.4287 0.9287 0.1425  2 Hf 2.09-2.10
O: 0.5713 0.0713 0.8575  2 Hf 2.09-2.10
O: 0.0713 0.5713 0.8575  2 Hf 2.09-2.10

SG   I4/mmm
N(E_F)   0.716 states/eV/atom
Formation energy without anion corrections   -2.82 eV per atom
Total magnetization   0.91 μB/f.u.



No. 9
First-principles (GGA-PBE) data for CsLaHf2P after structural relaxation, as listed in Alexandria.

Cell: 5.2643 5.7178 5.2643 Å, 90.00 90.00 90.00°
Last column: nearest neighbours and their distance in Å.
Element x y z (fractional)
Cs: 0.0000 0.0000 0.0000  4 Hf 2.63, 2 P 2.86
P: 0.0000 0.5000 0.0000  2 Cs 2.86
Hf: 0.0000 0.0000 0.5000  2 Cs 2.63
Hf: 0.5000 0.0000 0.0000  2 Cs 2.63
La: 0.5000 0.5000 0.5000  4 P 3.72, 8 Hf 3.89

SG   P4/mmm
N(E_F)   1.005 states/eV/atom
Formation enthalpy at 0 K   8.887 eV/f.u.
Total magnetization   0.00 μB/f.u.



No. 10
First-principles (GGA-PBE) data for CsLaHfS4 after structural relaxation, as listed in Alexandria.

Cell: 7.1599 7.0980 9.6919 Å, 90.00 108.16 90.00°
Last column: nearest neighbours and their distance in Å.
Element x y z (fractional)
Cs: 0.7211 0.7500 0.9380  4 S 3.44-3.82
Cs: 0.2789 0.2500 0.0620  4 S 3.44-3.82
La: 0.7866 0.7500 0.4501  6 S 2.93-2.99
La: 0.2134 0.2500 0.5499  6 S 2.93-2.99
Hf: 0.2404 0.7500 0.3367  4 S 2.34-2.40
Hf: 0.7596 0.2500 0.6633  4 S 2.34-2.40
S: 0.9918 0.5028 0.6913  1 Hf 2.40
S: 0.0082 0.0028 0.3087  1 Hf 2.40
S: 0.0082 0.4972 0.3087  1 Hf 2.40
S: 0.9918 0.9972 0.6913  1 Hf 2.40
S: 0.4461 0.7500 0.1857  1 Hf 2.38
S: 0.5539 0.2500 0.8143  1 Hf 2.38
S: 0.4580 0.7500 0.5745  1 Hf 2.34
S: 0.5420 0.2500 0.4255  1 Hf 2.34

SG   P2_1/m
N(E_F)   0.000 states/eV/atom
Formation energy without anion corrections   -1.72 eV per atom
Total magnetization   0.00 μB/f.u.



No. 11
First-principles (GGA-PBE) data for Cs2La2HfS6 after structural relaxation, as listed in Alexandria.

Cell: 7.1139 7.1139 8.5658 Å, 98.22 98.22 119.25°
Last column: nearest neighbours and their distance in Å.
Element x y z (fractional)
Cs: 0.8296 0.1704 0.0000  6 S 3.51-3.68
Cs: 0.1704 0.8296 0.0000  6 S 3.51-3.68
La: 0.3340 0.6660 0.5000  6 S 2.88-2.90
La: 0.6660 0.3340 0.5000  6 S 2.88-2.90
Hf: 0.0000 0.0000 0.5000  6 S 2.58-2.60
S: 0.7623 0.7623 0.6767  1 Hf 2.58
S: 0.0592 0.3625 0.6766  1 Hf 2.60, 2 La 2.88-2.90
S: 0.2377 0.2377 0.3233  1 Hf 2.58
S: 0.3625 0.0592 0.6766  1 Hf 2.60, 2 La 2.88-2.90
S: 0.9408 0.6375 0.3234  1 Hf 2.60, 2 La 2.88-2.90
S: 0.6375 0.9408 0.3234  1 Hf 2.60, 2 La 2.88-2.90

SG   C2/m
N(E_F)   0.000 states/eV/atom
Formation energy without anion corrections   -1.82 eV per atom
Total magnetization   0.00 μB/f.u.



No. 12
First-principles (GGA-PBE) data for Cs2La2HfSe6 after structural relaxation, as listed in Alexandria.

Cell: 7.3644 7.3644 8.9081 Å, 98.34 98.34 119.30°
Last column: nearest neighbours and their distance in Å.
Element x y z (fractional)
Cs: 0.8277 0.1723 0.0000  6 Se 3.62-3.75
Cs: 0.1723 0.8277 0.0000  6 Se 3.62-3.75
La: 0.3335 0.6665 0.5000  6 Se 3.01-3.02
La: 0.6665 0.3335 0.5000  6 Se 3.01-3.02
Hf: 0.0000 0.0000 0.5000  6 Se 2.72-2.73
Se: 0.7626 0.7626 0.6819  1 Hf 2.72, 2 La 3.02
Se: 0.0638 0.3672 0.6828  1 Hf 2.73, 2 La 3.01-3.02
Se: 0.2374 0.2374 0.3181  1 Hf 2.72, 2 La 3.02
Se: 0.3672 0.0638 0.6828  1 Hf 2.73, 2 La 3.01-3.02
Se: 0.9362 0.6328 0.3172  1 Hf 2.73, 2 La 3.01-3.02
Se: 0.6328 0.9362 0.3172  1 Hf 2.73, 2 La 3.01-3.02

SG   C2/m
N(E_F)   0.000 states/eV/atom
Formation energy without anion corrections   -1.68 eV per atom
Total magnetization   0.00 μB/f.u.